The following is a DFT calculation (GGA-PBE) of a relaxed structure of Pr8YCd6.

The structure in extended XYZ format:
```
15
Lattice="4.617 2.666 6.603 -4.617 2.666 6.603 0.000 -5.331 6.603" Properties=species:S:1:pos:R:3 pbc="T T T"
Pr -1.579 -2.697 7.570
Pr 0.000 0.000 3.273
Pr -3.125 0.019 12.240
Pr -1.546 2.716 7.570
Pr 1.546 -2.716 12.240
Pr 3.125 -0.019 7.570
Pr 0.000 0.000 16.536
Pr 1.579 2.697 12.240
Y 0.000 0.000 9.905
Cd -3.006 -0.002 8.939
Cd -1.502 -2.605 10.870
Cd 1.505 -2.603 8.939
Cd -1.505 2.603 10.870
Cd 1.502 2.605 8.939
Cd 3.006 0.002 10.870
```

Summary:
The value obtained for the formation energy is -1.50 eV/f.u. For the density of states at the Fermi level, the calculation gives 21.37 states/eV per cell.